First-principles (PBE) data for a geometry-optimized Hf4NbGa2 structure, as listed in the Alexandria database.

Results
- SG: R-3m
- DFT formation energy: 0.055 eV per atom
- Total DFT energy (no corrections): -7.94 eV per atom

Structure (POSCAR):
```
Hf4NbGa2
1.0
4.747 0.000 0.000
2.373 4.111 0.000
2.373 1.370 7.823
Hf Nb Ga
4 1 2
direct
0.730 0.730 0.811
0.869 0.869 0.394
0.270 0.270 0.189
0.131 0.131 0.606
0.500 0.500 0.500
0.613 0.613 0.160
0.387 0.387 0.840
```


First-principles (PBE) data for a geometry-optimized RbBa3 structure, as listed in the Alexandria database.

Results
- SG: Imm2
- DFT formation energy: 0.106 eV per atom
- Energy above the most stable polymorph in this dataset: 41 meV/atom
- Total DFT energy (no corrections): -1.58 eV per atom

Structure (POSCAR):
```
RbBa3
1.0
-2.042 -3.878 -1.059
4.696 -3.904 5.238
-6.440 5.088 3.387
Ba Rb
3 1
direct
0.248 0.576 0.497
0.500 0.506 0.000
0.752 0.079 0.503
0.000 0.006 0.000
```


First-principles (PBE) data for a geometry-optimized NiBiRhCl2 structure, as listed in the Alexandria database.

Results
- SG: P4/mmm
- ΔE_f (raw): 0.872 eV per atom
- Total DFT energy (no corrections): -3.27 eV per atom

Structure (POSCAR):
```
NiBiRhCl2
1.0
-4.951 -2.120 0.981
1.389 -0.821 5.232
-1.691 4.483 1.153
Ni Rh Bi Cl
1 1 1 2
direct
0.000 0.000 0.500
0.500 0.500 0.500
0.000 0.000 0.000
0.000 0.500 0.000
0.500 0.000 0.000
```


First-principles (PBE) data for a geometry-optimized Zr2BiSb structure, as listed in the Alexandria database.

Results
- SG: R3m
- ΔE_f (raw): -0.450 eV per atom
- Total DFT energy (no corrections): -6.73 eV per atom

Structure (POSCAR):
```
Zr2BiSb
1.0
4.095 0.000 0.000
2.048 3.547 0.000
2.048 1.182 7.172
Zr Bi Sb
2 1 1
direct
0.076 0.076 0.771
0.257 0.257 0.228
0.499 0.499 0.503
0.667 0.667 0.998
```


First-principles (PBE) data for a geometry-optimized BC2 structure, as listed in the Alexandria database.

Results
- SG: P1
- DFT formation energy: 0.349 eV per atom
- Energy above the most stable polymorph in this dataset: 109 meV/atom
- Total DFT energy (no corrections): -8.03 eV per atom

Structure (POSCAR):
```
BC2
1.0
0.058 -4.114 -2.094
3.798 1.628 2.012
-2.456 -1.291 3.431
B C
4 8
direct
0.170 0.832 0.508
0.008 0.692 0.057
0.509 0.506 0.517
0.377 0.663 0.009
0.373 0.357 0.130
0.172 0.541 0.647
0.835 0.175 0.502
0.726 0.054 0.133
0.644 0.304 0.003
0.563 0.218 0.637
0.997 0.014 0.987
0.877 0.893 0.619
```


First-principles (PBE) data for a geometry-optimized InBiRu2F structure, as listed in the Alexandria database.

Results
- SG: P4/mmm
- ΔE_f (raw): 0.539 eV per atom
- Total DFT energy (no corrections): -4.87 eV per atom

Structure (POSCAR):
```
InBiRu2F
1.0
4.485 0.000 0.000
0.000 4.587 0.000
0.000 0.000 4.485
Ru F Bi In
2 1 1 1
direct
0.000 0.000 0.500
0.500 0.000 0.000
0.000 0.000 0.000
0.500 0.500 0.500
0.000 0.500 0.000
```


First-principles (PBE) data for a geometry-optimized MgU2Si2Ru5 structure, as listed in the Alexandria database.

Results
- SG: P4/mbm
- ΔE_f (raw): -0.408 eV per atom
- Total DFT energy (no corrections): -8.55 eV per atom

Structure (POSCAR):
```
MgU2Si2Ru5
1.0
-0.401 3.255 -0.652
-8.169 -2.053 -5.226
-5.488 0.967 8.198
Mg U Si Ru
2 4 4 10
direct
0.000 0.000 0.000
0.000 0.500 0.500
0.000 0.676 0.176
0.000 0.324 0.824
0.000 0.176 0.324
0.000 0.824 0.676
0.000 0.124 0.624
0.000 0.876 0.376
0.000 0.624 0.876
0.000 0.376 0.124
0.500 0.213 0.074
0.500 0.787 0.926
0.500 0.074 0.787
0.500 0.713 0.426
0.500 0.926 0.213
0.500 0.287 0.574
0.500 0.574 0.713
0.500 0.426 0.287
0.500 0.500 0.000
0.500 0.000 0.500
```


First-principles (PBE) data for a geometry-optimized Sm8Hg2Pt structure, as listed in the Alexandria database.

Results
- SG: C2/m
- DFT formation energy: -0.364 eV per atom
- Energy above the most stable polymorph in this dataset: 0 meV/atom
- Total DFT energy (no corrections): -4.40 eV per atom

Structure (POSCAR):
```
Sm8Hg2Pt
1.0
5.218 0.000 0.000
0.000 6.932 0.469
-2.609 -2.388 8.865
Sm Hg Pt
8 2 1
direct
0.411 0.556 0.823
0.654 0.970 0.308
0.796 0.681 0.593
0.978 0.227 0.957
0.204 0.319 0.407
0.346 0.030 0.692
0.589 0.444 0.177
0.022 0.773 0.043
0.810 0.255 0.620
0.190 0.745 0.380
0.500 0.000 0.000
```